VASP calculation (PBE with a Hubbard U) on an optimized crystal structure of ZnWO4.

Structure (CIF):
```
data_ZnWO4
_chemical_formula_sum 'Zn4 W4 O16'
_cell_length_a 6.520
_cell_length_b 13.774
_cell_length_c 4.882
_cell_angle_alpha 90.00
_cell_angle_beta 131.69
_cell_angle_gamma 90.00
_symmetry_space_group_name_H-M 'C 1 2/c 1'
_symmetry_Int_Tables_number 15
loop_
_symmetry_equiv_pos_as_xyz
'x,y,z'
'-x,-y,-z'
'-x,y,-z+1/2'
'x,-y,z+1/2'
'x+1/2,y+1/2,z'
'-x+1/2,-y+1/2,-z'
'-x+1/2,y+1/2,-z+1/2'
'x+1/2,-y+1/2,z+1/2'
loop_
_atom_site_label
_atom_site_type_symbol
_atom_site_fract_x
_atom_site_fract_y
_atom_site_fract_z
Zn1 Zn 0.000 0.111 0.250
W1 W 0.000 0.420 0.750
O1 O 0.220 0.458 0.261
O2 O 0.239 0.338 0.792
```

## Properties
distance to the lowest polymorph of the same formula	0.040	eV/atom
crystal system	monoclinic
M_tot	0.0	μB per formula unit
final energy	-0.477	Ry per atom